(1)
A geometry-optimized TcB3Pt structure. Source: the Alexandria database, functional PBE.

Cell lengths 4.0664, 4.0664, 4.0664 Å; angles 90.00, 90.00, 90.00 degrees
Positions (direct):
1 Tc 0.0000 0.0000 0.0000
2 B 0.0000 0.5000 0.5000
3 B 0.5000 0.0000 0.5000
4 B 0.5000 0.5000 0.0000
5 Pt 0.5000 0.5000 0.5000

Summary:
- energy of formation from the pure elements (meV/atom) = 1538
- energy (eV/atom) = -5.75
- polymorph energy (0 for the lowest one) (meV per atom) = 219
- space group = Pm-3m
- N(E_F) (states/eV/cell) = 3.35

(2)
A geometry-optimized VTc2BPt structure. Source: the Alexandria database, functional PBE.

Cell lengths 4.4511, 4.4511, 3.9143 Å; angles 90.00, 90.00, 90.00 degrees
Positions (direct):
1 V 0.0000 0.0000 0.0000
2 Tc 0.0000 0.5000 0.0000
3 Tc 0.5000 0.0000 0.0000
4 B 0.0000 0.0000 0.5000
5 Pt 0.5000 0.5000 0.5000

Summary:
- energy of formation from the pure elements (meV/atom) = 1278
- energy (eV/atom) = -7.24
- space group = P4/mmm
- N(E_F) (states/eV/cell) = 5.22

(3)
A geometry-optimized ZrTc2BPt structure. Source: the Alexandria database, functional PBE.

Cell lengths 4.1018, 4.1018, 4.5073 Å; angles 90.00, 90.00, 90.00 degrees
Positions (direct):
1 Zr 0.0000 0.0000 0.0000
2 Tc 0.0000 0.5000 0.5000
3 Tc 0.5000 0.0000 0.5000
4 B 0.0000 0.0000 0.5000
5 Pt 0.5000 0.5000 0.0000

Summary:
- energy of formation from the pure elements (meV/atom) = -236
- energy (eV/atom) = -8.64
- space group = P4/mmm
- N(E_F) (states/eV/cell) = 5.43

(4)
A geometry-optimized B2TePt2 structure. Source: the Alexandria database, functional PBE.

Cell lengths 7.2599, 7.2599, 2.9305 Å; angles 90.00, 90.00, 90.00 degrees
Positions (direct):
1 B 0.0951 0.4049 0.0000
2 B 0.4049 0.9049 0.0000
3 B 0.5951 0.0951 0.0000
4 B 0.9049 0.5951 0.0000
5 Te 0.0000 0.0000 0.5000
6 Te 0.5000 0.5000 0.5000
7 Pt 0.1350 0.6350 0.5000
8 Pt 0.3650 0.1350 0.5000
9 Pt 0.6350 0.8650 0.5000
10 Pt 0.8650 0.3650 0.5000

Summary:
- energy (eV/atom) = -5.13
- formation energy (no corrections) (meV per atom) = 590
- polymorph energy (0 for the lowest one) (meV per atom) = 603
- space group = P4/mbm
- N(E_F) (states/eV/cell) = 6.56

(5)
A geometry-optimized B2TePt2 structure. Source: the Alexandria database, functional PBE.

Cell lengths 3.3563, 3.3563, 13.4427 Å; angles 90.00, 90.00, 90.00 degrees
Positions (direct):
1 B 0.0000 0.5000 0.2500
2 B 0.0000 0.5000 0.7500
3 B 0.5000 0.0000 0.2500
4 B 0.5000 0.0000 0.7500
5 Te 0.0000 0.0000 0.0000
6 Te 0.5000 0.5000 0.5000
7 Pt 0.0000 0.0000 0.3493
8 Pt 0.0000 0.0000 0.6507
9 Pt 0.5000 0.5000 0.1507
10 Pt 0.5000 0.5000 0.8493

Summary:
- energy (eV/atom) = -5.73
- formation energy (no corrections) (meV per atom) = -12
- polymorph energy (0 for the lowest one) (meV per atom) = 0
- space group = I4/mmm
- N(E_F) (states/eV/cell) = 2.13

(6)
A geometry-optimized BTe2Pt structure. Source: the Alexandria database, functional PBE.

Cell lengths 4.2506, 4.2506, 20.4393 Å; angles 90.00, 90.00, 120.00 degrees
Positions (direct):
1 B 0.0000 0.0000 0.0000
2 B 0.3333 0.6667 0.6667
3 B 0.6667 0.3333 0.3333
4 Te 0.0000 0.0000 0.1005
5 Te 0.0000 0.0000 0.8995
6 Te 0.3333 0.6667 0.5661
7 Te 0.3333 0.6667 0.7672
8 Te 0.6667 0.3333 0.2328
9 Te 0.6667 0.3333 0.4339
10 Pt 0.0000 0.0000 0.5000
11 Pt 0.3333 0.6667 0.1667
12 Pt 0.6667 0.3333 0.8333

Summary:
- energy (eV/atom) = -4.22
- formation energy (no corrections) (meV per atom) = 528
- space group = R-3m
- N(E_F) (states/eV/cell) = 5.89

(7)
A geometry-optimized BTe2Pt structure. Source: the Alexandria database, functional PBE.

Cell lengths 5.8195, 5.8195, 10.7916 Å; angles 90.00, 90.00, 90.00 degrees
Positions (direct):
1 B 0.0000 0.0000 0.0000
2 B 0.0000 0.5000 0.2500
3 B 0.5000 0.0000 0.7500
4 B 0.5000 0.5000 0.5000
5 Te 0.2091 0.2500 0.1250
6 Te 0.2500 0.7091 0.3750
7 Te 0.2500 0.7909 0.8750
8 Te 0.2909 0.2500 0.6250
9 Te 0.7091 0.7500 0.6250
10 Te 0.7500 0.2091 0.8750
11 Te 0.7500 0.2909 0.3750
12 Te 0.7909 0.7500 0.1250
13 Pt 0.0000 0.0000 0.5000
14 Pt 0.0000 0.5000 0.7500
15 Pt 0.5000 0.0000 0.2500
16 Pt 0.5000 0.5000 0.0000

Summary:
- energy (eV/atom) = -4.53
- formation energy (no corrections) (meV per atom) = 220
- space group = I-42d
- N(E_F) (states/eV/cell) = 7.03

(8)
A geometry-optimized BTe2Pt structure. Source: the Alexandria database, functional PBE.

Cell lengths 3.4961, 3.4961, 23.8270 Å; angles 90.00, 90.00, 120.00 degrees
Positions (direct):
1 B 0.0000 0.0000 0.0000
2 B 0.3333 0.6667 0.6667
3 B 0.6667 0.3333 0.3333
4 Te 0.0000 0.0000 0.3935
5 Te 0.0000 0.0000 0.6065
6 Te 0.3333 0.6667 0.0602
7 Te 0.3333 0.6667 0.2731
8 Te 0.6667 0.3333 0.7269
9 Te 0.6667 0.3333 0.9398
10 Pt 0.0000 0.0000 0.5000
11 Pt 0.3333 0.6667 0.1667
12 Pt 0.6667 0.3333 0.8333

Summary:
- energy (eV/atom) = -4.06
- formation energy (no corrections) (meV per atom) = 688
- space group = R-3m
- N(E_F) (states/eV/cell) = 7.15

(9)
A geometry-optimized ThB2Pt6 structure. Source: the Alexandria database, functional PBE.

Cell lengths 5.6282, 5.6282, 5.6111 Å; angles 90.00, 90.00, 120.00 degrees
Positions (direct):
1 Th 0.0000 0.0000 0.0000
2 B 0.3333 0.6667 0.5000
3 B 0.6667 0.3333 0.5000
4 Pt 0.0000 0.5000 0.2477
5 Pt 0.0000 0.5000 0.7523
6 Pt 0.5000 0.0000 0.2477
7 Pt 0.5000 0.0000 0.7523
8 Pt 0.5000 0.5000 0.2477
9 Pt 0.5000 0.5000 0.7523

Summary:
- energy of formation from the pure elements (meV/atom) = -724
- energy (eV/atom) = -7.06
- polymorph energy (0 for the lowest one) (meV per atom) = 0
- space group = P6/mmm
- N(E_F) (states/eV/cell) = 3.26

(10)
A geometry-optimized ThB2Pt8 structure. Source: the Alexandria database, functional PBE.

Cell lengths 5.3447, 5.3447, 7.2417 Å; angles 90.00, 90.00, 90.00 degrees
Positions (direct):
1 Th 0.0000 0.0000 0.0000
2 B 0.0000 0.5000 0.5000
3 B 0.5000 0.0000 0.5000
4 Pt 0.2526 0.2526 0.3091
5 Pt 0.2526 0.2526 0.6909
6 Pt 0.2526 0.7474 0.3091
7 Pt 0.2526 0.7474 0.6909
8 Pt 0.7474 0.2526 0.3091
9 Pt 0.7474 0.2526 0.6909
10 Pt 0.7474 0.7474 0.3091
11 Pt 0.7474 0.7474 0.6909

Summary:
- energy of formation from the pure elements (meV/atom) = -151
- energy (eV/atom) = -6.43
- space group = P4/mmm
- N(E_F) (states/eV/cell) = 8.39

(11)
A geometry-optimized Th2BPt6 structure. Source: the Alexandria database, functional PBE.

Cell lengths 5.8871, 5.8871, 5.4543 Å; angles 90.00, 90.00, 120.00 degrees
Positions (direct):
1 Th 0.3333 0.6667 0.2372
2 Th 0.6667 0.3333 0.7628
3 B 0.0000 0.0000 0.0000
4 Pt 0.1688 0.3376 0.7460
5 Pt 0.1688 0.8312 0.7460
6 Pt 0.3376 0.1688 0.2540
7 Pt 0.6624 0.8312 0.7460
8 Pt 0.8312 0.1688 0.2540
9 Pt 0.8312 0.6624 0.2540

Summary:
- energy of formation from the pure elements (meV/atom) = -942
- energy (eV/atom) = -7.36
- space group = P-3m1
- N(E_F) (states/eV/cell) = 2.44

(12)
A geometry-optimized ThB2Pt6 structure. Source: the Alexandria database, functional PBE.

Cell lengths 7.5828, 7.5828, 7.5828 Å; angles 60.00, 60.00, 60.00 degrees
Positions (direct):
1 Th 0.1250 0.1250 0.1250
2 Th 0.8750 0.8750 0.8750
3 B 0.0000 0.5000 0.5000
4 B 0.5000 0.0000 0.5000
5 B 0.5000 0.5000 0.0000
6 B 0.5000 0.5000 0.5000
7 Pt 0.1585 0.1585 0.5915
8 Pt 0.1585 0.5915 0.1585
9 Pt 0.1585 0.5915 0.5915
10 Pt 0.4085 0.4085 0.8415
11 Pt 0.4085 0.8415 0.4085
12 Pt 0.4085 0.8415 0.8415
13 Pt 0.5915 0.1585 0.1585
14 Pt 0.5915 0.1585 0.5915
15 Pt 0.5915 0.5915 0.1585
16 Pt 0.8415 0.4085 0.4085
17 Pt 0.8415 0.4085 0.8415
18 Pt 0.8415 0.8415 0.4085

Summary:
- energy of formation from the pure elements (meV/atom) = -614
- energy (eV/atom) = -6.95
- polymorph energy (0 for the lowest one) (meV per atom) = 110
- space group = Fd-3m
- N(E_F) (states/eV/cell) = 6.38

(13)
A geometry-optimized ThB2Pt7 structure. Source: the Alexandria database, functional PBE.

Cell lengths 6.7591, 6.7591, 4.1834 Å; angles 90.00, 90.00, 116.29 degrees
Positions (direct):
1 Th 0.0000 0.0000 0.0000
2 B 0.3117 0.6883 0.5000
3 B 0.6883 0.3117 0.5000
4 Pt 0.0650 0.3353 0.5000
5 Pt 0.2610 0.7390 0.0000
6 Pt 0.3353 0.0650 0.5000
7 Pt 0.5000 0.5000 0.5000
8 Pt 0.6647 0.9350 0.5000
9 Pt 0.7390 0.2610 0.0000
10 Pt 0.9350 0.6647 0.5000

Summary:
- energy of formation from the pure elements (meV/atom) = -382
- energy (eV/atom) = -6.69
- space group = Cmmm
- N(E_F) (states/eV/cell) = 5.07